Computed, not measured: crystalline Re2TeOs at its relaxed geometry at the PBE level of DFT.

Calculated values
Crystal system: monoclinic
Uncorrected formation energy (meV/atom): 661
Spin magnetization (μB per cell): 0.0

a b c (Å): 4.9821 4.9821 4.7233
angles (deg): 95.38 95.38 34.51
Fractional positions:
Re (0.0000, 0.0000, 0.0000)
Re (0.7279, 0.7279, 0.2347)
Te (0.2324, 0.2324, 0.7275)
Os (0.4593, 0.4593, 0.4473)

=====

Computed, not measured: crystalline Re2TeOs at its relaxed geometry at the PBE level of DFT.

Calculated values
Crystal system: trigonal
Uncorrected formation energy (meV/atom): 616
Spin magnetization (μB per cell): 0.0

a b c (Å): 8.9268 8.9268 8.9268
angles (deg): 19.01 19.01 19.01
Fractional positions:
Re (0.0000, 0.0000, 0.0000)
Re (0.2526, 0.2526, 0.2526)
Te (0.4996, 0.4996, 0.4996)
Os (0.7457, 0.7457, 0.7457)

=====

Computed, not measured: crystalline ReTeOs2 at its relaxed geometry at the PBE level of DFT.

Calculated values
Crystal system: orthorhombic
Uncorrected formation energy (meV/atom): 982
Spin magnetization (μB per cell): 0.0

a b c (Å): 2.8386 2.8386 9.6512
angles (deg): 90.00 90.00 118.40
Fractional positions:
Re (0.0000, 0.0000, 0.0000)
Te (0.0000, 0.0000, 0.5000)
Os (0.5000, 0.5000, 0.2261)
Os (0.5000, 0.5000, 0.7739)

=====

Uncorrected energy: -9.156, -9.200, -8.530 (eV per atom)